No. 1
Entry from Alexandria: a relaxed MnAl2Cl crystal (GGA-PBE).

a b c (Å): 2.9533 2.9533 8.8234
angles (deg): 90.00 90.00 90.00
Atoms (fractional coordinates):
1 Mn 0.0000 0.0000 0.0000
2 Al 0.0000 0.0000 0.4275
3 Al 0.5000 0.5000 0.1982
4 Cl 0.5000 0.5000 0.8289

Properties
energy relative to the elements, uncorrected	-0.0464	eV per atom
crystal system	tetragonal
total moment	3.6	μB/f.u.
raw total energy	-4.67	eV per atom
energy above the most stable polymorph in this dataset	46	kJ/mol of formula units

No. 2
Entry from Alexandria: a relaxed Mn2AlCl crystal (GGA-PBE).

a b c (Å): 4.3534 2.9382 5.1887
angles (deg): 90.00 97.33 90.00
Atoms (fractional coordinates):
1 Mn 0.0000 0.0000 0.0000
2 Mn 0.0000 0.5000 0.5000
3 Al 0.5000 0.0000 0.5000
4 Cl 0.5000 0.5000 0.0000

Properties
energy relative to the elements, uncorrected	0.2405	eV per atom
crystal system	monoclinic
total moment	7.2	μB/f.u.
raw total energy	-5.74	eV per atom
energy above the most stable polymorph in this dataset	118	kJ/mol of formula units

No. 3
Entry from Alexandria: a relaxed Mn2AlCl crystal (GGA-PBE).

a b c (Å): 2.9126 2.9126 7.7188
angles (deg): 90.00 90.00 90.00
Atoms (fractional coordinates):
1 Mn 0.0000 0.0000 0.0000
2 Mn 0.5000 0.5000 0.2101
3 Al 0.0000 0.0000 0.3955
4 Cl 0.5000 0.5000 0.7950

Properties
energy relative to the elements, uncorrected	-0.0386	eV per atom
crystal system	tetragonal
total moment	1.8	μB/f.u.
raw total energy	-6.02	eV per atom
energy above the most stable polymorph in this dataset	10	kJ/mol of formula units

No. 4
Entry from Alexandria: a relaxed MnAl2Cl crystal (GGA-PBE).

a b c (Å): 4.4727 4.4727 4.4727
angles (deg): 60.00 60.00 60.00
Atoms (fractional coordinates):
1 Mn 0.0000 0.0000 0.0000
2 Al 0.2500 0.2500 0.2500
3 Al 0.7500 0.7500 0.7500
4 Cl 0.5000 0.5000 0.5000

Properties
energy relative to the elements, uncorrected	0.7495	eV per atom
crystal system	cubic
total moment	0.0	μB/f.u.
raw total energy	-3.88	eV per atom
energy above the most stable polymorph in this dataset	353	kJ/mol of formula units

No. 5
Entry from Alexandria: a relaxed Mn2AlCl crystal (GGA-PBE).

a b c (Å): 5.1700 5.1700 5.1700
angles (deg): 147.11 119.50 70.60
Atoms (fractional coordinates):
1 Mn 0.2426 0.2426 0.0000
2 Mn 0.7574 0.7574 0.0000
3 Al 0.5000 0.0000 0.5000
4 Cl 0.0000 0.5000 0.5000

Properties
energy relative to the elements, uncorrected	0.1904	eV per atom
crystal system	orthorhombic
total moment	6.9	μB/f.u.
raw total energy	-5.79	eV per atom
energy above the most stable polymorph in this dataset	98	kJ/mol of formula units

No. 6
Entry from Alexandria: a relaxed Mn2AlNCl crystal (GGA-PBE).

a b c (Å): 4.3306 4.3306 5.0520
angles (deg): 90.00 90.00 90.00
Atoms (fractional coordinates):
1 Mn 0.0000 0.5000 0.0000
2 Mn 0.5000 0.0000 0.0000
3 Al 0.0000 0.0000 0.5000
4 N 0.5000 0.5000 0.5000
5 Cl 0.0000 0.0000 0.0000

Properties
energy relative to the elements, uncorrected	1.6163	eV per atom
crystal system	tetragonal
total moment	8.7	μB/f.u.
raw total energy	-4.83	eV per atom

No. 7
Entry from Alexandria: a relaxed MnAlPCl2 crystal (GGA-PBE).

a b c (Å): 4.5556 4.5556 5.0842
angles (deg): 90.00 90.00 90.00
Atoms (fractional coordinates):
1 Mn 0.0000 0.0000 0.0000
2 Al 0.5000 0.5000 0.5000
3 P 0.5000 0.5000 0.0000
4 Cl 0.0000 0.5000 0.5000
5 Cl 0.5000 0.0000 0.5000

Properties
energy relative to the elements, uncorrected	-0.0773	eV per atom
crystal system	tetragonal
total moment	4.9	μB/f.u.
raw total energy	-4.48	eV per atom
energy above the most stable polymorph in this dataset	0	kJ/mol of formula units

No. 8
Entry from Alexandria: a relaxed MnAlPCl2 crystal (GGA-PBE).

a b c (Å): 4.9321 4.9321 4.6650
angles (deg): 90.00 90.00 90.00
Atoms (fractional coordinates):
1 Mn 0.0000 0.0000 0.0000
2 Al 0.5000 0.5000 0.5000
3 P 0.0000 0.0000 0.5000
4 Cl 0.0000 0.5000 0.0000
5 Cl 0.5000 0.0000 0.0000

Properties
energy relative to the elements, uncorrected	-0.0345	eV per atom
crystal system	tetragonal
total moment	3.0	μB/f.u.
raw total energy	-4.44	eV per atom
energy above the most stable polymorph in this dataset	21	kJ/mol of formula units

No. 9
Entry from Alexandria: a relaxed RbMnAlCl6 crystal (GGA-PBE).

a b c (Å): 6.1562 6.1562 14.9211
angles (deg): 90.00 90.00 120.00
Atoms (fractional coordinates):
1 Rb 0.0000 0.0000 0.0000
2 Rb 0.0000 0.0000 0.5000
3 Mn 0.3333 0.6667 0.2500
4 Mn 0.6667 0.3333 0.7500
5 Al 0.3333 0.6667 0.7500
6 Al 0.6667 0.3333 0.2500
7 Cl 0.9999 0.3714 0.6612
8 Cl 0.0001 0.3715 0.1612
9 Cl 0.9999 0.6285 0.8388
10 Cl 0.0001 0.6286 0.3388
11 Cl 0.3714 0.9999 0.1612
12 Cl 0.3714 0.3715 0.3388
13 Cl 0.3715 0.0001 0.6612
14 Cl 0.3715 0.3714 0.8388
15 Cl 0.6285 0.9999 0.3388
16 Cl 0.6285 0.6286 0.1612
17 Cl 0.6286 0.0001 0.8388
18 Cl 0.6286 0.6285 0.6612

Properties
energy relative to the elements, uncorrected	-1.2560	eV per atom
crystal system	trigonal
total moment	1.0	μB/f.u.
raw total energy	-4.03	eV per atom

No. 10
Entry from Alexandria: a relaxed RbMnAl2Cl8 crystal (GGA-PBE).

a b c (Å): 10.2204 10.2204 10.2204
angles (deg): 36.67 36.67 36.67
Atoms (fractional coordinates):
1 Rb 0.0000 0.0000 0.0000
2 Mn 0.5000 0.5000 0.5000
3 Al 0.2437 0.2437 0.2437
4 Al 0.7563 0.7563 0.7563
5 Cl 0.1089 0.4604 0.7685
6 Cl 0.2315 0.8911 0.5396
7 Cl 0.3197 0.3197 0.3197
8 Cl 0.4604 0.7685 0.1089
9 Cl 0.5396 0.2315 0.8911
10 Cl 0.6803 0.6803 0.6803
11 Cl 0.7685 0.1089 0.4604
12 Cl 0.8911 0.5396 0.2315

Properties
energy relative to the elements, uncorrected	-1.3554	eV per atom
crystal system	trigonal
total moment	4.2	μB/f.u.
raw total energy	-4.06	eV per atom

No. 11
Entry from Alexandria: a relaxed MnAlS2Cl crystal (GGA-PBE).

a b c (Å): 4.4076 4.4076 4.9194
angles (deg): 90.00 90.00 90.00
Atoms (fractional coordinates):
1 Mn 0.0000 0.0000 0.0000
2 Al 0.5000 0.5000 0.5000
3 S 0.0000 0.5000 0.0000
4 S 0.5000 0.0000 0.0000
5 Cl 0.0000 0.0000 0.5000

Properties
energy relative to the elements, uncorrected	0.0540	eV per atom
crystal system	tetragonal
total moment	0.0	μB/f.u.
raw total energy	-4.55	eV per atom
energy above the most stable polymorph in this dataset	139	kJ/mol of formula units

No. 12
Entry from Alexandria: a relaxed MnAlSCl2 crystal (GGA-PBE).

a b c (Å): 4.7112 4.7112 4.7460
angles (deg): 90.00 90.00 90.00
Atoms (fractional coordinates):
1 Mn 0.0000 0.0000 0.0000
2 Al 0.5000 0.5000 0.5000
3 S 0.5000 0.5000 0.0000
4 Cl 0.0000 0.5000 0.5000
5 Cl 0.5000 0.0000 0.5000

Properties
energy relative to the elements, uncorrected	-0.3437	eV per atom
crystal system	tetragonal
total moment	5.4	μB/f.u.
raw total energy	-4.49	eV per atom
energy above the most stable polymorph in this dataset	0	kJ/mol of formula units

No. 13
Entry from Alexandria: a relaxed MnAlSCl2 crystal (GGA-PBE).

a b c (Å): 4.8916 4.8916 4.2903
angles (deg): 90.00 90.00 90.00
Atoms (fractional coordinates):
1 Mn 0.0000 0.0000 0.0000
2 Al 0.5000 0.5000 0.5000
3 S 0.0000 0.0000 0.5000
4 Cl 0.0000 0.5000 0.0000
5 Cl 0.5000 0.0000 0.0000

Properties
energy relative to the elements, uncorrected	-0.1006	eV per atom
crystal system	tetragonal
total moment	0.4	μB/f.u.
raw total energy	-4.25	eV per atom
energy above the most stable polymorph in this dataset	117	kJ/mol of formula units

No. 14
Entry from Alexandria: a relaxed MnAlS2Cl crystal (GGA-PBE).

a b c (Å): 4.6926 4.6926 4.5478
angles (deg): 90.00 90.00 90.00
Atoms (fractional coordinates):
1 Mn 0.0000 0.0000 0.0000
2 Al 0.5000 0.5000 0.5000
3 S 0.0000 0.5000 0.5000
4 S 0.5000 0.0000 0.5000
5 Cl 0.5000 0.5000 0.0000

Properties
energy relative to the elements, uncorrected	-0.2350	eV per atom
crystal system	tetragonal
total moment	5.0	μB/f.u.
raw total energy	-4.84	eV per atom
energy above the most stable polymorph in this dataset	0	kJ/mol of formula units